Density functional theory data (PBE) for CsSr2CeI8 after structural relaxation.

Calculated values
**Space-group type**: P-1, No. 2
**Uncorrected formation energy**: -1.52 eV per atom

a b c (Å): 7.948 7.608 10.305
angles (deg): 89.94 89.97 89.69
Atoms (fractional coordinates):
I1 0.671 0.745 0.000
I2 0.160 0.751 0.209
I3 0.161 0.752 0.791
I4 0.840 0.249 0.791
I5 0.329 0.255 0.000
I6 0.611 0.737 0.500
Sr1 0.500 0.500 0.250
I7 0.389 0.263 0.500
Ce1 0.000 0.000 0.000
I8 0.839 0.248 0.209
Sr2 0.500 0.500 0.750
Cs1 0.000 0.000 0.500